A geometry-optimized Sr2AgBiS4 structure. Source: Alexandria via LeMat-Bulk, functional PBE-GGA.

Output
Magnetic moment   0.00 Bohr magnetons per cell
Formation energy from raw total energies   -9.01 eV per formula unit
Theoretical density   5.08 g cm⁻³
Crystal system   monoclinic

a b c (Å): 4.1939 7.0585 7.2875
angles (deg): 69.95 90.00 90.00
Last column: nearest neighbours and their distance in Å.
Positions (direct):
Bi (0.5000, 0.5000, 0.0000)  6 S 2.85-2.88
S (0.0000, 0.2619, 0.2409)  2 Bi 2.88, 1 Ag 2.93, 3 Sr 2.95-3.00
S (0.0000, 0.7381, 0.7591)  2 Bi 2.88, 1 Ag 2.93, 3 Sr 2.95-3.00
S (0.5000, 0.2667, 0.7491)  1 Bi 2.85, 2 Ag 2.89, 3 Sr 2.99-3.03
S (0.5000, 0.7333, 0.2509)  1 Bi 2.85, 2 Ag 2.89, 3 Sr 2.99-3.03
Sr (0.0000, 0.0000, 0.0000)  6 S 2.95-2.99
Sr (0.5000, 0.0000, 0.5000)  6 S 3.00-3.03
Ag (0.0000, 0.5000, 0.5000)  6 S 2.89-2.93